Here is a geometry-optimized Al3SiBi structure from Alexandria via LeMat-Bulk. Energies are from PBE.

```
Al3SiBi
1.0
5.427 0.000 0.000
0.000 5.427 0.000
0.000 0.000 5.427
Al Si Bi
3 1 1
Cartesian
0.000 0.000 2.714 Al
0.000 2.714 0.000 Al
2.714 0.000 0.000 Al
2.714 2.714 2.714 Si
0.000 0.000 0.000 Bi
```

Values from the calculation:
Energy above the lowest structure with this stoichiometry, eV/atom: 0.975
Size of the total moment, μB per formula unit: 0.00